Model A:
Computed, not measured: Cd3Sb after structural relaxation at the GGA-PBE level of DFT.

Unit cell a=3.3581 b=5.7794 c=5.2108 alpha=90.00 beta=90.00 gamma=90.00
Positions (direct):
Cd1 0.0000 0.0000 0.0000
Cd2 0.0000 0.5000 0.2322
Cd3 0.5000 0.0000 0.4991
Sb1 0.5000 0.5000 0.7260

- size of the total moment (μB/atom) = 0.000
- N(E_F) (states/eV/f.u.) = 1.37
- crystal system = orthorhombic

***

Model B:
Computed, not measured: Cd3Sb after structural relaxation at the GGA-PBE level of DFT.

Unit cell a=6.2576 b=6.2576 c=6.2576 alpha=117.44 beta=117.44 gamma=117.44
Positions (direct):
Cd1 0.0000 0.5000 0.5000
Cd2 0.5000 0.0000 0.5000
Cd3 0.5000 0.5000 0.0000
Sb1 0.0000 0.0000 0.0000

- size of the total moment (μB/atom) = 0.000
- N(E_F) (states/eV/f.u.) = 0.79
- crystal system = trigonal

***

Model C:
Computed, not measured: Cd3Sb after structural relaxation at the GGA-PBE level of DFT.

Unit cell a=3.2375 b=3.2375 c=10.7750 alpha=90.00 beta=90.00 gamma=120.00
Positions (direct):
Cd1 0.0000 0.0000 0.0000
Cd2 0.3333 0.6667 0.2406
Cd3 0.3333 0.6667 0.7594
Sb1 0.0000 0.0000 0.5000

- size of the total moment (μB/atom) = 0.000
- N(E_F) (states/eV/f.u.) = 0.96
- crystal system = hexagonal

***

Model D:
Computed, not measured: Cd3Sb after structural relaxation at the GGA-PBE level of DFT.

Unit cell a=3.3342 b=4.5355 c=6.4590 alpha=90.00 beta=90.00 gamma=90.00
Positions (direct):
Cd1 0.0000 0.0000 0.0000
Cd2 0.5000 0.5000 0.2385
Cd3 0.5000 0.5000 0.7615
Sb1 0.0000 0.0000 0.5000

- size of the total moment (μB/atom) = 0.000
- N(E_F) (states/eV/f.u.) = 0.84
- crystal system = orthorhombic

***

Which one sits at the bottom of the stability order? model B does.

***

Model A:
Computed, not measured: CdSb after structural relaxation at the GGA-PBE level of DFT.

Unit cell a=4.8866 b=4.9173 c=6.5577 alpha=106.27 beta=90.25 gamma=119.70
Positions (direct):
Cd1 0.2407 0.0811 0.2056
Cd2 0.7593 0.9189 0.7944
Sb1 0.0791 0.5490 0.7276
Sb2 0.9209 0.4510 0.2724

- size of the total moment (μB/atom) = 0.000
- N(E_F) (states/eV/f.u.) = 0.19
- crystal system = triclinic

***

Model B:
Computed, not measured: CdSb after structural relaxation at the GGA-PBE level of DFT.

Unit cell a=3.0578 b=3.3342 c=5.3793 alpha=90.00 beta=90.00 gamma=90.00
Positions (direct):
Cd1 0.0000 0.0000 0.0000
Sb1 0.0000 0.5000 0.5000

- size of the total moment (μB/atom) = 0.000
- N(E_F) (states/eV/f.u.) = 1.00
- crystal system = orthorhombic

***

Which one sits at the bottom of the stability order? model B does.